Sc2MnSb (PBE, relaxed); DOS at the Fermi energy = 2.64 states/eV/f.u.; DFT total energy = -6.851 eV/atom; formation energy (no corrections) = -0.3618 eV/atom; space group = I4/mmm
1.0
-5.217 -0.966 -0.536
-0.939 -5.218 -0.574
2.823 2.809 3.547
Mn Sb Sc
1 1 2
Direct
0.250 0.750 0.500
0.750 0.250 0.500
0.000 0.000 0.000
0.500 0.500 0.000



Sc2MnSb (PBE, relaxed); DOS at the Fermi energy = 3.64 states/eV/f.u.; DFT total energy = -6.455 eV/atom; formation energy (no corrections) = 0.0339 eV/atom; space group = I-42d
1.0
-5.649 -3.788 -3.480
4.362 -6.267 -0.258
-1.708 -5.878 0.785
Sc Sb Mn
4 2 2
Direct
0.875 0.853 0.750
0.375 0.397 0.750
0.147 0.625 0.250
0.603 0.125 0.250
0.750 0.250 0.500
0.000 0.000 0.000
0.500 0.500 0.000
0.250 0.750 0.500



Sc3MnSb (PBE, relaxed); DOS at the Fermi energy = 6.64 states/eV/f.u.; DFT total energy = -6.517 eV/atom; formation energy (no corrections) = -0.0600 eV/atom; space group = Pm-3m
1.0
4.803 0.000 0.000
0.000 4.803 0.000
0.000 0.000 4.803
Sb Sc Mn
1 3 1
Direct
0.500 0.500 0.500
0.500 0.000 0.000
0.000 0.000 0.500
0.000 0.500 0.000
0.000 0.000 0.000



ScMnSb2 (PBE, relaxed); DOS at the Fermi energy = 3.19 states/eV/f.u.; DFT total energy = -6.122 eV/atom; formation energy (no corrections) = -0.1854 eV/atom; space group = Immm
1.0
-2.345 -3.671 -2.857
4.006 -3.295 -0.482
-2.562 1.895 4.121
Sc Mn Sb
1 1 2
Direct
0.750 0.250 0.500
0.250 0.750 0.500
0.485 0.485 0.000
0.015 0.015 0.000



ScMnSb (PBE, relaxed); DOS at the Fermi energy = 2.15 states/eV/f.u.; DFT total energy = -6.501 eV/atom; formation energy (no corrections) = 0.0401 eV/atom; space group = P3m1
1.0
-2.462 2.156 0.102
1.018 -1.453 2.752
4.389 4.965 0.998
Sc Sb Mn
1 1 1
Direct
0.333 0.667 0.687
0.667 0.333 0.314
0.000 0.000 0.999



ScMnSb (PBE, relaxed); DOS at the Fermi energy = 1.26 states/eV/f.u.; DFT total energy = -7.044 eV/atom; formation energy (no corrections) = -0.5029 eV/atom; space group = P4/nmm
1.0
-2.560 3.065 -0.888
-1.800 -2.326 -2.843
-4.563 -2.404 4.855
Mn Sb Sc
2 2 2
Direct
0.000 0.000 0.500
0.500 0.500 0.500
0.000 0.500 0.242
0.500 0.000 0.758
0.500 0.000 0.178
0.000 0.500 0.822



ScMn2Sb (PBE, relaxed); DOS at the Fermi energy = 3.29 states/eV/f.u.; DFT total energy = -7.207 eV/atom; formation energy (no corrections) = -0.0084 eV/atom; space group = P4/mmm
1.0
3.536 0.000 0.000
0.000 3.536 0.000
0.000 0.000 5.905
Mn Sc Sb
2 1 1
Direct
0.000 0.000 0.000
0.000 0.000 0.500
0.500 0.500 0.750
0.500 0.500 0.250



ScMn2Sb (PBE, relaxed); DOS at the Fermi energy = 4.19 states/eV/f.u.; DFT total energy = -7.308 eV/atom; formation energy (no corrections) = -0.1096 eV/atom; space group = P4/mmm
1.0
4.185 0.000 0.000
0.000 4.185 0.000
0.000 0.000 3.997
Mn Sb Sc
2 1 1
Direct
0.500 0.500 0.000
0.000 0.000 0.000
0.500 0.000 0.500
0.000 0.500 0.500



Sc2MnSb (PBE, relaxed); DOS at the Fermi energy = 2.60 states/eV/f.u.; DFT total energy = -6.630 eV/atom; formation energy (no corrections) = -0.1409 eV/atom; space group = F-43m
1.0
4.685 0.000 0.000
2.342 4.057 0.000
2.342 1.352 3.825
Sb Sc Mn
1 2 1
Direct
0.750 0.750 0.750
0.000 0.000 0.000
0.250 0.250 0.250
0.500 0.500 0.500



ScMnSb2 (PBE, relaxed); DOS at the Fermi energy = 4.36 states/eV/f.u.; DFT total energy = -5.816 eV/atom; formation energy (no corrections) = 0.1207 eV/atom; space group = F-43m
1.0
5.025 0.000 0.000
2.513 4.352 0.000
2.513 1.451 4.103
Mn Sb Sc
1 2 1
Direct
0.500 0.500 0.500
0.250 0.250 0.250
0.000 0.000 0.000
0.750 0.750 0.750



ScMnSb2 (PBE, relaxed); DOS at the Fermi energy = 1.54 states/eV/f.u.; DFT total energy = -6.274 eV/atom; formation energy (no corrections) = -0.3373 eV/atom; space group = P4mm
1.0
-0.045 2.861 2.825
-2.838 1.978 -2.048
-4.106 -2.907 2.879
Sb Mn Sc
2 1 1
Direct
0.000 0.000 0.916
0.500 0.500 0.332
0.500 0.500 0.826
0.000 0.000 0.426



Sc4MnSb (PBE, relaxed); DOS at the Fermi energy = 9.41 states/eV/f.u.; DFT total energy = -6.156 eV/atom; formation energy (no corrections) = 0.2802 eV/atom; space group = F-43m
1.0
0.000 4.111 4.111
4.111 0.000 4.111
4.111 4.111 0.000
Sc Sb Mn
4 1 1
Direct
0.376 0.376 0.873
0.873 0.376 0.376
0.376 0.873 0.376
0.376 0.376 0.376
0.000 0.000 0.000
0.750 0.750 0.750



What is the DFT total energy in the second record?
-6.455 eV/atom



Among the records above, which one has the highest DOS at the Fermi energy?
Sc4MnSb